Computed, not measured: an optimized crystal structure of Cd4Sn4Bi at the PBE level of DFT.

Output
**Symmetry**: No. 139

```
9
Lattice="-4.998 4.998 2.378 4.998 -4.998 2.378 4.998 4.998 -2.378" Properties=species:S:1:pos:R:3 pbc="T T T"
Cd 3.440 0.000 0.000
Cd 6.556 0.000 0.000
Cd 0.000 3.440 0.000
Cd 0.000 6.556 0.000
Sn 3.291 3.291 0.000
Sn 1.708 -1.708 2.378
Sn -1.708 1.708 2.378
Sn 1.708 1.708 2.378
Bi 0.000 0.000 0.000
```

***

Computed, not measured: an optimized crystal structure of CdSn2Bi at the PBE level of DFT.

Output
**Relative energy among the computed polymorphs**: 0.11 eV/f.u.
**Symmetry**: No. 225

```
4
Lattice="0.000 3.839 3.839 3.839 0.000 3.839 3.839 3.839 0.000" Properties=species:S:1:pos:R:3 pbc="T T T"
Cd 0.000 0.000 0.000
Sn 1.919 1.919 1.919
Sn 5.758 5.758 5.758
Bi 3.839 3.839 3.839
```

***

| no. | total energy (eV per cell) |
| --- | --- |
| 1 | -22.90 |
| 2 | -12.36 |